The following is a GGA-PBE calculation of a geometry-optimized PaOsPt structure, from the Alexandria database.

Cell lengths 4.1923, 4.1923, 6.7052 Å; angles 90.00, 90.00, 90.01 degrees
Last column: nearest neighbours and their distance in Å.
Positions (direct):
Pa 0.3363 0.8363 0.8025  5 Pt 2.79-2.97, 4 Os 2.92
Pa 0.8363 0.3363 0.1975  5 Pt 2.79-2.97, 4 Os 2.92
Os 0.8366 0.8366 0.5000  4 Pt 2.82, 4 Pa 2.92, 4 Os 2.96
Os 0.3366 0.3366 0.5000  4 Pt 2.82, 4 Pa 2.92, 4 Os 2.96
Pt 0.8364 0.3364 0.7816  5 Pa 2.79-2.97, 4 Os 2.82
Pt 0.3364 0.8364 0.2184  5 Pa 2.79-2.97, 4 Os 2.82

size of the total moment = 0.0 μB/f.u.
ΔE to the lowest computed polymorph = 0.0000 eV per atom
energy of formation from the pure elements = -0.52 eV/atom
space group = P4/nmm, No. 129

The following is a GGA-PBE calculation of a geometry-optimized CaAg2Os structure, from the Alexandria database.

Cell lengths 5.2873, 5.2873, 5.2873 Å; angles 133.97, 133.97, 67.13 degrees
Last column: nearest neighbours and their distance in Å.
Positions (direct):
Os 0.7500 0.2500 0.5000  8 Ag 2.92-3.02, 4 Ca 3.02
Ag 0.2500 0.7500 0.5000  4 Os 2.92, 4 Ca 3.02, 4 Ag 3.02
Ag 0.0000 0.0000 0.0000  4 Ca 2.92, 4 Os 3.02, 4 Ag 3.02
Ca 0.5000 0.5000 0.0000  8 Ag 2.92-3.02, 4 Os 3.02

size of the total moment = 0.2 μB/f.u.
ΔE to the lowest computed polymorph = 0.0863 eV per atom
energy of formation from the pure elements = 0.53 eV/atom
space group = I-4m2, No. 119

The following is a GGA-PBE calculation of a geometry-optimized Fe3AsH structure, from the Alexandria database.

Cell lengths 3.6132, 3.6132, 3.6132 Å; angles 90.00, 90.00, 90.00 degrees
Last column: nearest neighbours and their distance in Å.
Positions (direct):
Fe 0.0000 0.5000 0.0000  2 H 1.81
Fe 0.5000 0.0000 0.0000  2 H 1.81
Fe 0.0000 0.0000 0.5000  2 H 1.81
H 0.0000 0.0000 0.0000  6 Fe 1.81
As 0.5000 0.5000 0.5000  12 Fe 2.55

size of the total moment = 2.5 μB/f.u.
ΔE to the lowest computed polymorph = 0.0000 eV per atom
space group = Pm-3m, No. 221

The following is a GGA-PBE calculation of a geometry-optimized TbCe2PaP4 structure, from the Alexandria database.

Cell lengths 4.0404, 6.9794, 7.0125 Å; angles 109.42, 90.00, 90.00 degrees
Last column: nearest neighbours and their distance in Å.
Positions (direct):
P 0.5000 0.7472 0.7562  1 Pa 2.80, 2 Tb 2.85, 3 Ce 2.87-2.91
P 0.0000 0.7439 0.2409  2 Pa 2.81, 1 Tb 2.84, 3 Ce 2.87-2.90
P 0.0000 0.2561 0.7591  2 Pa 2.81, 1 Tb 2.84, 3 Ce 2.87-2.90
P 0.5000 0.2528 0.2438  1 Pa 2.80, 2 Tb 2.85, 3 Ce 2.87-2.91
Tb 0.0000 0.0000 0.0000  6 P 2.84-2.85
Ce 0.0000 0.5000 0.5000  6 P 2.87
Ce 0.5000 0.0000 0.5000  6 P 2.90-2.91
Pa 0.5000 0.5000 0.0000  6 P 2.80-2.81

size of the total moment = 1.2 μB/f.u.
energy of formation from the pure elements = -1.48 eV/atom
space group = P2/m, No. 10

The following is a GGA-PBE calculation of a geometry-optimized Y5Er4Tm structure, from the Alexandria database.

Cell lengths 6.2723, 7.8402, 7.8402 Å; angles 80.79, 66.42, 66.42 degrees
Last column: nearest neighbours and their distance in Å.
Positions (direct):
Tm 0.2187 0.0000 0.0000  1 Y 2.88
Y 0.1861 0.9128 0.6209  4 Er 3.20-3.50, 1 Tm 3.25, 1 Y 3.29
Y 0.6777 0.0000 0.0000  1 Tm 2.88
Y 0.8070 0.3791 0.9128  4 Er 3.20-3.50, 1 Tm 3.25, 1 Y 3.29
Y 0.0989 0.6209 0.0872  4 Er 3.20-3.50, 1 Tm 3.25, 1 Y 3.29
Y 0.7198 0.0872 0.3791  4 Er 3.20-3.50, 1 Tm 3.25, 1 Y 3.29
Er 0.7985 0.7005 0.6036  4 Y 3.20-3.50, 1 Er 3.24
Er 0.4990 0.6036 0.2995  4 Y 3.20-3.50, 1 Er 3.24
Er 0.4021 0.3964 0.7005  4 Y 3.20-3.50, 1 Er 3.24
Er 0.1026 0.2995 0.3964  4 Y 3.20-3.50, 1 Er 3.24

size of the total moment = 0.0 μB/f.u.
energy of formation from the pure elements = 0.31 eV/atom
space group = I4, No. 79

The following is a GGA-PBE calculation of a geometry-optimized BaCdSe2 structure, from the Alexandria database.

Cell lengths 3.8128, 3.8128, 7.5204 Å; angles 90.00, 90.00, 90.00 degrees
Last column: nearest neighbours and their distance in Å.
Positions (direct):
Ba 0.5000 0.5000 0.2500  8 Se 3.39, 2 Cd 3.76
Cd 0.5000 0.5000 0.7500  8 Se 3.19
Se 0.0000 0.0000 0.5239  4 Cd 3.19, 4 Ba 3.39, 1 Se 3.40
Se 0.0000 0.0000 0.9761  4 Cd 3.19, 4 Ba 3.39, 1 Se 3.40

size of the total moment = 0.0 μB/f.u.
energy relative to the elements, uncorrected = -859 meV/atom
space group = P4/mmm, No. 123

The following is a GGA-PBE calculation of a geometry-optimized BaGaCu structure, from the Alexandria database.

Cell lengths 4.7193, 4.4776, 4.4776 Å; angles 120.00, 90.00, 90.00 degrees
Last column: nearest neighbours and their distance in Å.
Positions (direct):
Ba 0.6667 0.3333 0.6667  6 Cu 3.50, 6 Ga 3.50
Cu 0.1666 0.0000 0.0000  3 Ga 2.59
Ga 0.1667 0.6667 0.3333  3 Cu 2.59

size of the total moment = 0.0 μB/f.u.
energy of formation from the pure elements = -0.21 eV/atom
space group = P-6m2, No. 187

The following is a GGA-PBE calculation of a geometry-optimized KYRe structure, from the Alexandria database.

Cell lengths 5.0324, 5.0324, 5.0324 Å; angles 60.00, 60.00, 60.00 degrees
Last column: nearest neighbours and their distance in Å.
Positions (direct):
K 0.5000 0.5000 0.5000  4 Re 3.08
Re 0.7500 0.7500 0.7500  4 K 3.08, 4 Y 3.08
Y 0.0000 0.0000 0.0000  4 Re 3.08

size of the total moment = 1.2 μB/f.u.
ΔE to the lowest computed polymorph = 0.6784 eV per atom
energy of formation from the pure elements = 1.64 eV/atom
space group = F-43m, No. 216

The following is a GGA-PBE calculation of a geometry-optimized Zr structure, from the Alexandria database.

Cell lengths 3.2185, 3.2185, 10.4295 Å; angles 90.00, 90.00, 120.00 degrees
Last column: nearest neighbours and their distance in Å.
Positions (direct):
Zr 0.0000 0.0000 0.5000  12 Zr 3.20-3.22
Zr 0.0000 0.0000 0.0000  12 Zr 3.20-3.22
Zr 0.3333 0.6667 0.2500  12 Zr 3.20-3.22
Zr 0.6667 0.3333 0.7500  12 Zr 3.20-3.22

size of the total moment = 0.0 μB/f.u.
ΔE to the lowest computed polymorph = 0.0480 eV per atom
energy of formation from the pure elements = 0.05 eV/atom
space group = P6_3/mmc, No. 194

The following is a GGA-PBE calculation of a geometry-optimized Rb2SO structure, from the Alexandria database.

Cell lengths 5.4299, 5.4299, 5.4299 Å; angles 60.00, 60.00, 60.00 degrees
Last column: nearest neighbours and their distance in Å.
Positions (direct):
S 0.5000 0.5000 0.5000  8 Rb 3.33
Rb 0.7500 0.7500 0.7500  4 S 3.33, 4 O 3.33
Rb 0.2500 0.2500 0.2500  4 S 3.33, 4 O 3.33
O 0.0000 0.0000 0.0000  8 Rb 3.33

size of the total moment = 2.0 μB/f.u.
ΔE to the lowest computed polymorph = 0.2676 eV per atom
energy relative to the elements, uncorrected = -420 meV/atom
space group = Fm-3m, No. 225

The following is a GGA-PBE calculation of a geometry-optimized TiCrHgGe2 structure, from the Alexandria database.

Cell lengths 4.9413, 4.6165, 4.9413 Å; angles 90.00, 90.00, 90.00 degrees
Last column: nearest neighbours and their distance in Å.
Positions (direct):
Ge 0.5000 0.0000 0.0000  2 Ti 2.47
Ge 0.0000 0.0000 0.5000  2 Ti 2.47
Ti 0.0000 0.0000 0.0000  2 Cr 2.31, 4 Ge 2.47
Hg 0.5000 0.5000 0.5000  8 Ge 3.38, 4 Cr 3.49
Cr 0.0000 0.5000 0.0000  2 Ti 2.31

size of the total moment = 2.6 μB/f.u.
energy of formation from the pure elements = 0.68 eV/atom
space group = P4/mmm, No. 123

The following is a GGA-PBE calculation of a geometry-optimized ScFe6Sb2 structure, from the Alexandria database.

Cell lengths 7.2089, 7.2089, 2.9582 Å; angles 90.00, 90.00, 120.00 degrees
Last column: nearest neighbours and their distance in Å.
Positions (direct):
Fe 0.3029 0.3029 0.0000  2 Sb 2.52, 2 Sc 2.64
Fe 0.6971 0.0000 0.0000  2 Sb 2.52, 2 Sc 2.64
Fe 0.0000 0.3621 0.5000  1 Sc 2.61, 4 Sb 2.74, 6 Fe 2.83-2.84
Fe 0.0000 0.6971 0.0000  2 Sb 2.52, 2 Sc 2.64
Fe 0.3621 0.0000 0.5000  1 Sc 2.61, 4 Sb 2.74, 6 Fe 2.83-2.84
Fe 0.6379 0.6379 0.5000  1 Sc 2.61, 4 Sb 2.74, 6 Fe 2.83-2.84
Sc 0.0000 0.0000 0.5000  9 Fe 2.61-2.64
Sb 0.6667 0.3333 0.0000  9 Fe 2.52-2.74
Sb 0.3333 0.6667 0.0000  9 Fe 2.52-2.74

size of the total moment = 11.6 μB/f.u.
energy relative to the elements, uncorrected = 304 meV/atom
space group = P-62m, No. 189